1.
Compound: AcGa4Si2
Source: Alexandria
Functional: PBE
Structure: optimized geometry

Calculated values
The value obtained for the total magnetization is 0.00 μB per cell. The electronic total energy is -4.05 eV/atom. For the formation energy from raw total energies, the calculation gives -186 meV per atom.

abc: 4.499 14.531 4.426
angles: 90.00 90.00 90.00
Space group Cmmm (No. 65)
Asymmetric unit:
Ac: 0.000 0.000 0.000 (multiplicity 2)
Ga: 0.000 0.183 0.500 (multiplicity 4)
Ga: 0.000 0.308 0.000 (multiplicity 4)
Si: 0.000 0.419 0.500 (multiplicity 4)

***

2.
Compound: Ac6Ga2Si
Source: Alexandria
Functional: PBE
Structure: optimized geometry

Calculated values
The value obtained for the total magnetization is 0.00 μB per cell. The electronic total energy is -4.29 eV/atom. For the formation energy from raw total energies, the calculation gives -277 meV per atom.

abc: 6.885 8.958 12.696
angles: 90.00 122.49 90.00
Space group P2_1/c (No. 14)
Asymmetric unit:
Ac: 0.072 0.177 0.435 (multiplicity 4)
Ac: 0.301 0.674 0.434 (multiplicity 4)
Ac: 0.397 0.043 0.268 (multiplicity 4)
Ga: 0.184 0.120 0.749 (multiplicity 4)
Si: 0.000 0.000 0.000 (multiplicity 2)

***

3.
Compound: Ac4Ga3Si
Source: Alexandria
Functional: PBE
Structure: optimized geometry

Calculated values
The value obtained for the total magnetization is 0.00 μB per cell. The electronic total energy is -4.41 eV/atom. For the formation energy from raw total energies, the calculation gives -547 meV per atom.

abc: 4.279 4.725 12.009
angles: 90.00 90.00 90.00
Space group Pmm2 (No. 25)
Asymmetric unit:
Ac: 0.000 0.000 0.000 (multiplicity 1)
Ac: 0.000 0.500 0.496 (multiplicity 1)
Ac: 0.500 0.000 0.714 (multiplicity 1)
Ac: 0.500 0.500 0.214 (multiplicity 1)
Ga: 0.000 0.500 0.790 (multiplicity 1)
Ga: 0.500 0.000 0.419 (multiplicity 1)
Ga: 0.500 0.500 0.922 (multiplicity 1)
Si: 0.000 0.000 0.289 (multiplicity 1)

***

4.
Compound: Ac2Ga2Si
Source: Alexandria
Functional: PBE
Structure: optimized geometry

Calculated values
The value obtained for the total magnetization is 0.00 μB per cell. The electronic total energy is -4.52 eV/atom. For the formation energy from raw total energies, the calculation gives -578 meV per atom.

abc: 11.944 4.270 11.573
angles: 90.00 111.36 90.00
Space group C2/m (No. 12)
Asymmetric unit:
Ac: 0.094 0.000 0.399 (multiplicity 4)
Ac: 0.204 0.500 0.136 (multiplicity 4)
Ga: 0.027 0.000 0.906 (multiplicity 4)
Ga: 0.144 0.500 0.636 (multiplicity 4)
Si: 0.069 0.500 0.816 (multiplicity 4)

***

5.
Compound: Ac12GaSi6
Source: Alexandria
Functional: PBE
Structure: optimized geometry

Calculated values
The value obtained for the total magnetization is 0.00 μB per cell. The electronic total energy is -4.88 eV/atom. For the formation energy from raw total energies, the calculation gives -412 meV per atom.

abc: 10.937 10.937 10.937
angles: 90.00 90.00 90.00
Space group Im-3 (No. 204)
Asymmetric unit:
Ac: 0.000 0.298 0.188 (multiplicity 24)
Ga: 0.000 0.000 0.000 (multiplicity 2)
Si: 0.000 0.109 0.500 (multiplicity 12)

***

6.
Compound: Ac2Ga7Si
Source: Alexandria
Functional: PBE
Structure: optimized geometry

Calculated values
The value obtained for the total magnetization is 0.00 μB per cell. The electronic total energy is -3.92 eV/atom. For the formation energy from raw total energies, the calculation gives -435 meV per atom.

abc: 4.700 4.700 9.905
angles: 90.00 90.00 90.00
Space group P-4m2 (No. 115)
Asymmetric unit:
Ac: 0.000 0.500 0.245 (multiplicity 2)
Ga: 0.000 0.000 0.000 (multiplicity 1)
Ga: 0.000 0.000 0.500 (multiplicity 1)
Ga: 0.000 0.500 0.628 (multiplicity 2)
Ga: 0.000 0.500 0.886 (multiplicity 2)
Ga: 0.500 0.500 0.500 (multiplicity 1)
Si: 0.500 0.500 0.000 (multiplicity 1)